(1)
# TcTe2As (GGA-PBE, optimized geometry)
data_TcTe2As
_chemical_formula_sum 'Tc1 Te2 As1'
_symmetry_space_group_name_H-M 'P 4/m m m'
_symmetry_Int_Tables_number 123
_symmetry_space_group_name_Hall '-P 4 2'
_cell_length_a 3.185
_cell_length_b 3.185
_cell_length_c 8.724
_cell_angle_alpha 90.00
_cell_angle_beta 90.00
_cell_angle_gamma 90.00
loop_
_atom_site_label
_atom_site_type_symbol
_atom_site_fract_x
_atom_site_fract_y
_atom_site_fract_z
Tc1 Tc 0.000 0.000 0.000
Te1 Te 0.500 0.500 0.196
As1 As 0.000 0.000 0.500
# Calculated total energy, eV/atom: -5.01

***

(2)
# NaTlPb2 (GGA-PBE, optimized geometry)
data_NaTlPb2
_chemical_formula_sum 'Na4 Tl4 Pb8'
_symmetry_space_group_name_H-M 'I -4 2 d'
_symmetry_Int_Tables_number 122
_symmetry_space_group_name_Hall 'I -4 2bw'
_cell_length_a 8.853
_cell_length_b 8.853
_cell_length_c 6.544
_cell_angle_alpha 90.00
_cell_angle_beta 90.00
_cell_angle_gamma 90.00
loop_
_atom_site_label
_atom_site_type_symbol
_atom_site_fract_x
_atom_site_fract_y
_atom_site_fract_z
Na1 Na 0.000 0.000 0.000
Tl1 Tl 0.000 0.000 0.500
Pb1 Pb 0.235 0.250 0.625
# E_form, meV per atom: 85